# 1
! MgZrFePb GGA-PBE optimized geometry; values from VASP
&SYSTEM
  ibrav = 0, nat = 4, ntyp = 4
/
ATOMIC_SPECIES
Mg 24.30 Mg.upf
Zr 91.22 Zr.upf
Fe 55.84 Fe.upf
Pb 207.20 Pb.upf
CELL_PARAMETERS angstrom
0.000 3.399 3.399
3.399 0.000 3.399
3.399 3.399 0.000
ATOMIC_POSITIONS angstrom
Mg 0.000 0.000 0.000
Zr 1.700 1.700 1.700
Fe 5.099 5.099 5.099
Pb 3.399 3.399 3.399
! Distance to the lowest polymorph of the same formula (meV per atom): 177.0
! Total moment (μB/cell): 1.9

# 2
! LiTbCu3Se4 GGA-PBE optimized geometry; values from VASP
&SYSTEM
  ibrav = 0, nat = 9, ntyp = 4
/
ATOMIC_SPECIES
Li 6.94 Li.upf
Tb 158.93 Tb.upf
Cu 63.55 Cu.upf
Se 78.96 Se.upf
CELL_PARAMETERS angstrom
5.893 0.000 0.000
0.000 5.893 0.000
0.000 0.000 5.893
ATOMIC_POSITIONS angstrom
Li 0.000 0.000 0.000
Tb 2.947 2.947 2.947
Cu 0.000 2.947 2.947
Cu 2.947 0.000 2.947
Cu 2.947 2.947 0.000
Se 1.420 1.420 1.420
Se 1.420 4.473 4.473
Se 4.473 1.420 4.473
Se 4.473 4.473 1.420
! Distance to the lowest polymorph of the same formula (meV per atom): 14.6
! Total moment (μB/cell): 0.0